! TmHI3 | Alexandria via LeMat-Bulk | PBE-GGA | optimized geometry; values from VASP
&SYSTEM
  ibrav = 0, nat = 20, ntyp = 3
/
ATOMIC_SPECIES
Tm 168.93 Tm.upf
H 1.01 H.upf
I 126.90 I.upf
ATOMIC_POSITIONS angstrom
Tm -0.2536 1.9844 1.1880
Tm -1.7447 5.9367 8.0902
Tm 6.9739 1.9844 4.8569
Tm 5.4828 5.9367 11.7592
H 7.2372 6.1525 2.2951
H -0.5170 6.1525 3.7499
H 5.7462 1.7686 9.1973
H -2.0080 1.7686 10.6521
I 4.8271 0.3994 6.1508
I 3.3360 7.5217 13.0530
I -0.3261 5.9316 10.7671
I 1.6889 4.3618 0.8727
I 1.1649 1.9894 3.8648
I 0.4022 7.5217 6.7964
I 5.0314 4.3618 5.1722
I 4.0643 5.9316 9.0823
I 3.5403 3.5593 12.0745
I 5.5554 1.9894 2.1801
I 1.8932 0.3994 -0.1058
I 0.1978 3.5593 7.7749
CELL_PARAMETERS angstrom
8.2113 0.0000 -0.8573
0.0000 7.9211 0.0000
-2.9821 0.0000 13.8044
! Space-group type   No. 13
! D(E_F)   0.000 states/eV/atom
! DFT total energy   -3.555 eV/atom
! Theoretical density   4.168 Mg/m³

! PmPRhO | Alexandria via LeMat-Bulk | PBE-GGA | optimized geometry; values from VASP
&SYSTEM
  ibrav = 0, nat = 8, ntyp = 4
/
ATOMIC_SPECIES
Pm 145.00 Pm.upf
P 30.97 P.upf
Rh 102.91 Rh.upf
O 16.00 O.upf
ATOMIC_POSITIONS angstrom
Pm 2.0103 0.0000 5.2933
Pm 0.0000 2.0103 2.9663
P 0.0000 2.0103 7.0069
P 2.0103 0.0000 1.2527
Rh 2.0103 2.0103 0.0000
Rh 0.0000 0.0000 0.0000
O 0.0000 0.0000 4.1298
O 2.0103 2.0103 4.1298
CELL_PARAMETERS angstrom
4.0207 0.0000 0.0000
0.0000 4.0207 0.0000
0.0000 0.0000 8.2596
! Space-group type   No. 129
! Uncorrected formation energy   -2018 meV per atom
! D(E_F)   0.678 states/eV/atom
! Theoretical density   7.334 Mg/m³

! LiTcAs4 | Alexandria via LeMat-Bulk | PBE-GGA | optimized geometry; values from VASP
&SYSTEM
  ibrav = 0, nat = 6, ntyp = 3
/
ATOMIC_SPECIES
Li 6.94 Li.upf
Tc 98.00 Tc.upf
As 74.92 As.upf
ATOMIC_POSITIONS angstrom
Li 5.8009 5.8009 5.8009
Tc 0.0000 0.0000 0.0000
As 4.8303 2.9042 4.8303
As 2.9042 4.8303 4.8303
As 4.8303 4.8303 2.9042
As 2.9042 2.9042 2.9042
CELL_PARAMETERS angstrom
0.0000 3.8672 3.8672
3.8672 0.0000 3.8672
3.8672 3.8672 0.0000
! Space-group type   No. 216
! Formation energy   0.558 eV/atom
! D(E_F)   0.525 states/eV/atom
! Theoretical density   5.809 Mg/m³

! DyBeRh2 | Alexandria via LeMat-Bulk | PBE-GGA | optimized geometry; values from VASP
&SYSTEM
  ibrav = 0, nat = 4, ntyp = 3
/
ATOMIC_SPECIES
Be 9.01 Be.upf
Rh 102.91 Rh.upf
Dy 162.50 Dy.upf
ATOMIC_POSITIONS angstrom
Be 1.5710 1.5710 0.0000
Rh 0.0000 0.0000 4.9499
Rh 0.0000 0.0000 1.3081
Dy 1.5710 1.5710 3.1290
CELL_PARAMETERS angstrom
3.1420 0.0000 0.0000
0.0000 3.1420 0.0000
0.0000 0.0000 6.2580
! Space-group type   No. 123
! Formation energy   -0.548 eV/atom
! D(E_F)   0.349 states/eV/atom
! Theoretical density   10.142 Mg/m³

! NbBP2Ru | Alexandria via LeMat-Bulk | PBE-GGA | optimized geometry; values from VASP
&SYSTEM
  ibrav = 0, nat = 5, ntyp = 4
/
ATOMIC_SPECIES
Ru 101.07 Ru.upf
Nb 92.91 Nb.upf
B 10.81 B.upf
P 30.97 P.upf
ATOMIC_POSITIONS angstrom
Ru -0.8688 -0.1966 -3.8711
Nb 0.0000 0.0000 0.0000
B 1.2794 -0.9444 -1.3954
P -1.8733 -1.0831 -0.9845
P -0.2749 1.8309 -1.4912
CELL_PARAMETERS angstrom
-0.5498 3.6619 -2.9824
2.5588 -1.8889 -2.7909
-3.7466 -2.1661 -1.9690
! Space-group type   No. 123
! Formation energy   1.303 eV/atom
! D(E_F)   1.263 states/eV/atom
! Theoretical density   4.630 Mg/m³

! ZrAg2Hg | Alexandria via LeMat-Bulk | PBE-GGA | optimized geometry; values from VASP
&SYSTEM
  ibrav = 0, nat = 4, ntyp = 3
/
ATOMIC_SPECIES
Zr 91.22 Zr.upf
Hg 200.59 Hg.upf
Ag 107.87 Ag.upf
ATOMIC_POSITIONS angstrom
Zr 1.5534 1.5534 6.2409
Hg 0.0000 0.0000 4.0635
Ag 0.0000 0.0000 0.0755
Ag 1.5534 1.5534 1.9977
CELL_PARAMETERS angstrom
3.1067 0.0000 0.0000
0.0000 3.1067 0.0000
0.0000 0.0000 8.2518
! Space-group type   No. 99
! Formation energy   -0.017 eV/atom
! D(E_F)   0.605 states/eV/atom
! Theoretical density   10.582 Mg/m³

! LiCo3Pb | Alexandria via LeMat-Bulk | PBE-GGA | optimized geometry; values from VASP
&SYSTEM
  ibrav = 0, nat = 5, ntyp = 3
/
ATOMIC_SPECIES
Pb 207.20 Pb.upf
Co 58.93 Co.upf
Li 6.94 Li.upf
ATOMIC_POSITIONS angstrom
Pb 2.0536 2.0536 2.0536
Co 0.0000 2.0536 0.0000
Co 0.0000 0.0000 2.0536
Co 2.0536 0.0000 0.0000
Li 0.0000 0.0000 0.0000
CELL_PARAMETERS angstrom
4.1072 0.0000 0.0000
0.0000 4.1072 0.0000
0.0000 0.0000 4.1072
! Space-group type   No. 221
! Formation energy   0.891 eV/atom
! Energy above the lowest structure with this stoichiometry   0 meV/atom
! D(E_F)   1.583 states/eV/atom
! Theoretical density   9.370 Mg/m³

! La3PbI | Alexandria via LeMat-Bulk | PBE-GGA | optimized geometry; values from VASP
&SYSTEM
  ibrav = 0, nat = 20, ntyp = 3
/
ATOMIC_SPECIES
La 138.91 La.upf
Pb 207.20 Pb.upf
I 126.90 I.upf
ATOMIC_POSITIONS angstrom
La -0.8461 -10.8996 0.1016
La -2.1941 -8.1085 -2.1646
La -6.6957 0.1697 2.6532
La -5.3476 -2.6214 4.9195
La 0.3145 -7.1179 0.8739
La -4.8196 -10.0572 0.1921
La -7.8563 -3.6120 1.8810
La -2.7221 -0.6727 2.5628
La -6.1672 -3.0020 -1.7463
La -1.9776 -4.3279 0.9919
La -1.3746 -7.7279 4.5012
La -5.5642 -6.4020 1.7630
Pb -1.7514 -6.5692 -5.3348
Pb -5.7904 -4.1607 8.0897
Pb -4.8836 -2.6499 1.3556
Pb -2.6581 -8.0801 1.3993
I -5.1592 -7.8091 4.7393
I -2.9557 -4.8492 4.0370
I -2.3826 -2.9208 -1.9844
I -4.5861 -5.8807 -1.2821
CELL_PARAMETERS angstrom
-7.3974 1.8183 4.3262
-2.0906 -4.8219 -7.0087
1.9463 -7.7263 5.4374
! Space-group type   No. 15
! Uncorrected formation energy   -561 meV per atom
! Energy above the lowest structure with this stoichiometry   0 meV/atom
! D(E_F)   1.028 states/eV/atom
! Theoretical density   7.115 Mg/m³

! RbTl2InGa | Alexandria via LeMat-Bulk | PBE-GGA | optimized geometry; values from VASP
&SYSTEM
  ibrav = 0, nat = 5, ntyp = 4
/
ATOMIC_SPECIES
Tl 204.38 Tl.upf
Ga 69.72 Ga.upf
Rb 85.47 Rb.upf
In 114.82 In.upf
ATOMIC_POSITIONS angstrom
Tl 0.0000 0.0000 2.8787
Tl 2.8787 0.0000 0.0000
Ga 0.0000 0.0000 0.0000
Rb 2.8787 2.8355 2.8787
In 0.0000 2.8355 0.0000
CELL_PARAMETERS angstrom
5.7575 0.0000 0.0000
0.0000 5.6709 0.0000
0.0000 0.0000 5.7575
! Space-group type   No. 123
! Formation energy   0.083 eV/atom
! D(E_F)   0.696 states/eV/atom
! Theoretical density   5.996 Mg/m³

! NpUVIr | Alexandria via LeMat-Bulk | PBE-GGA | optimized geometry; values from VASP
&SYSTEM
  ibrav = 0, nat = 4, ntyp = 4
/
ATOMIC_SPECIES
Np 237.00 Np.upf
Ir 192.22 Ir.upf
U 238.03 U.upf
V 50.94 V.upf
ATOMIC_POSITIONS angstrom
Np -2.6313 -2.7980 -7.5248
Ir 0.0000 0.0000 0.0000
U -1.7542 -1.8653 -5.0166
V -0.8771 -0.9327 -2.5083
CELL_PARAMETERS angstrom
-2.4969 1.0244 -3.7235
1.3524 -1.4559 -4.1473
-2.3639 -3.2992 -2.1623
! Space-group type   No. 216
! Formation energy   -0.147 eV/atom
! D(E_F)   1.632 states/eV/atom
! Theoretical density   17.341 Mg/m³

! Li2YBiS4 | Alexandria via LeMat-Bulk | PBE-GGA | optimized geometry; values from VASP
&SYSTEM
  ibrav = 0, nat = 8, ntyp = 4
/
ATOMIC_SPECIES
Li 6.94 Li.upf
Y 88.91 Y.upf
Bi 208.98 Bi.upf
S 32.06 S.upf
ATOMIC_POSITIONS angstrom
Li 0.0000 2.4243 6.4324
Li 1.9739 1.2122 3.2162
Y 0.0000 4.5385 3.1896
Bi 1.9739 3.3264 -0.0266
S 0.0001 6.8439 4.7144
S 3.9477 2.2332 1.6647
S 1.9739 5.6230 1.5967
S 1.9739 3.4541 4.7824
CELL_PARAMETERS angstrom
3.9477 0.0000 0.0000
0.0000 6.6527 -0.0533
0.0000 2.4243 6.4324
! Space-group type   No. 10
! Uncorrected formation energy   -1292 meV per atom
! D(E_F)   0.000 states/eV/atom
! Theoretical density   4.312 Mg/m³